No. 1
An optimized crystal structure of MnSnRh6, computed with GGA-PBE.

Lattice parameters (Å, degrees): 3.888 3.888 7.764 90.00 90.00 90.00
Space group P4/mmm (No. 123)
Asymmetric unit:
Mn1 0.000 0.000 0.000 x1
Sn1 0.000 0.000 0.500 x1
Rh1 0.000 0.500 0.237 x4
Rh2 0.500 0.500 0.000 x1
Rh3 0.500 0.500 0.500 x1

Calculated values
Crystal system: tetragonal
E_form in eV/atom: -0.1950
Volume in Å³/atom: 14.7
Raw total energy in eV for the cell shown: -58.84



No. 2
An optimized crystal structure of Sr2Zn3Ge4Rh, computed with GGA-PBE.

Lattice parameters (Å, degrees): 4.384 4.384 10.620 90.00 90.00 90.00
Space group P-4m2 (No. 115)
Asymmetric unit:
Sr1 0.000 0.500 0.246 x2
Zn1 0.000 0.000 0.000 x1
Zn2 0.000 0.500 0.636 x2
Ge1 0.000 0.000 0.500 x1
Ge2 0.000 0.500 0.877 x2
Ge3 0.500 0.500 0.500 x1
Rh1 0.500 0.500 0.000 x1

Calculated values
Crystal system: tetragonal
E_form in eV/atom: -0.4185
Volume in Å³/atom: 20.4
Raw total energy in eV for the cell shown: -37.19



No. 3
An optimized crystal structure of Sc2FeSn, computed with GGA-PBE.

Lattice parameters (Å, degrees): 7.604 7.604 5.541 90.00 90.00 90.00
Space group I-42d (No. 122)
Asymmetric unit:
Sc1 0.180 0.250 0.125 x8
Fe1 0.000 0.000 0.000 x4
Sn1 0.000 0.000 0.500 x4

Calculated values
Crystal system: tetragonal
E_form in eV/atom: 0.0479
Volume in Å³/atom: 20.0
Raw total energy in eV for the cell shown: -99.75



No. 4
An optimized crystal structure of NaSmPb2Br8, computed with GGA-PBE.

Lattice parameters (Å, degrees): 6.829 8.973 7.188 90.00 90.58 90.00
Space group P2/m (No. 10)
Asymmetric unit:
Na1 0.000 0.000 0.000 x1
Sm1 0.000 0.500 0.000 x1
Pb1 0.500 0.243 0.500 x2
Br1 0.233 0.262 0.152 x4
Br2 0.241 0.500 0.672 x2
Br3 0.263 0.000 0.660 x2

Calculated values
Crystal system: monoclinic
E_form (uncorrected) in eV/atom: -1.33
Volume in Å³/atom: 36.7
Raw total energy in eV for the cell shown: -42.76



> Which formula does entry 1 have?

MnSnRh6



Repeat the second record exactly.
An optimized crystal structure of Sr2Zn3Ge4Rh, computed with GGA-PBE.

Lattice parameters (Å, degrees): 4.384 4.384 10.620 90.00 90.00 90.00
Space group P-4m2 (No. 115)
Asymmetric unit:
Sr1 0.000 0.500 0.246 x2
Zn1 0.000 0.000 0.000 x1
Zn2 0.000 0.500 0.636 x2
Ge1 0.000 0.000 0.500 x1
Ge2 0.000 0.500 0.877 x2
Ge3 0.500 0.500 0.500 x1
Rh1 0.500 0.500 0.000 x1

Calculated values
Crystal system: tetragonal
E_form in eV/atom: -0.4185
Volume in Å³/atom: 20.4
Raw total energy in eV for the cell shown: -37.19